(1)
# Ce2Br3Cl (PBE, relaxed)
# - energy relative to the elements, uncorrected (meV/atom) = -1700
# - magnetization (μB/cell) = 15.94
# - V (Å³/atom) = 35.37
# - density (g/cm³) = 4.35
# - VASP energy (eV/atom) = -4.82
data_Ce2Br3Cl
_space_group_name_H-M_alt 'C 1 2/m 1'
_space_group_IT_number 12
_cell_length_a 18.607
_cell_length_b 4.018
_cell_length_c 14.169
_cell_angle_alpha 90.00
_cell_angle_beta 126.75
_cell_angle_gamma 90.00
loop_
_space_group_symop_operation_xyz
'x,y,z'
'-x,-y,-z'
'-x,y,-z'
'x,-y,z'
'x+1/2,y+1/2,z'
'-x+1/2,-y+1/2,-z'
'-x+1/2,y+1/2,-z'
'x+1/2,-y+1/2,z'
loop_
_atom_site_label
_atom_site_fract_x
_atom_site_fract_y
_atom_site_fract_z
Ce1 0.246 0.000 0.110
Ce2 0.249 0.500 0.387
Br1 0.113 0.500 0.931
Br2 0.114 0.500 0.439
Br3 0.129 0.000 0.194
Cl1 0.152 0.000 0.712

(2)
# MnTl2RhPb (PBE, relaxed)
# - magnetization (μB/cell) = 3.52
# - V (Å³/atom) = 25.61
# - density (g/cm³) = 10.03
# - VASP energy (eV/atom) = -4.40
# - formation energy from the elements (meV/atom) = 593.4
data_MnTl2RhPb
_space_group_name_H-M_alt 'P 4/m m m'
_space_group_IT_number 123
_space_group_name_Hall '-P 4 2'
_cell_length_a 5.193
_cell_length_b 5.193
_cell_length_c 4.749
_cell_angle_alpha 90.00
_cell_angle_beta 90.00
_cell_angle_gamma 90.00
loop_
_atom_site_label
_atom_site_fract_x
_atom_site_fract_y
_atom_site_fract_z
Mn1 0.000 0.000 0.000
Tl1 0.000 0.500 0.000
Rh1 0.000 0.000 0.500
Pb1 0.500 0.500 0.500

(3)
# Tm2MgGe (PBE, relaxed)
# - magnetization (μB/cell) = 0.00
# - V (Å³/atom) = 26.27
# - density (g/cm³) = 6.87
# - VASP energy (eV/atom) = -4.04
# - formation energy from the elements (meV/atom) = -248.4
data_Tm2MgGe
_space_group_name_H-M_alt 'R -3 m'
_space_group_IT_number 166
_space_group_name_Hall '-R 3 2"'
_cell_length_a 3.6197
_cell_length_b 3.6197
_cell_length_c 27.7792
_cell_angle_alpha 90.00
_cell_angle_beta 90.00
_cell_angle_gamma 120.00
loop_
_atom_site_label
_atom_site_fract_x
_atom_site_fract_y
_atom_site_fract_z
Tm1 0.0000 0.0000 0.2381
Mg1 0.0000 0.0000 0.0000
Ge1 0.0000 0.0000 0.5000